Below is a geometry-optimized Nd5Bi5Ir structure, with properties calculated at the GGA-PBE level.

Cell lengths 7.582, 7.582, 10.007 Å; angles 116.65, 116.65, 49.71 degrees
Positions (direct):
Nd (0.000, 0.000, 0.000)
Nd (0.313, 0.313, 0.702)
Nd (0.353, 0.353, 0.123)
Nd (0.647, 0.647, 0.877)
Nd (0.687, 0.687, 0.298)
Bi (0.111, 0.111, 0.780)
Bi (0.226, 0.226, 0.336)
Bi (0.500, 0.500, 0.500)
Bi (0.774, 0.774, 0.664)
Bi (0.889, 0.889, 0.220)
Ir (0.500, 0.500, 0.000)

Computed properties:
Its formation enthalpy at 0 K is -6.1 eV per formula unit. As for the space-group type: No. 12.

=====

Below is a geometry-optimized Nd12BiIr6 structure, with properties calculated at the GGA-PBE level.

Cell lengths 8.953, 8.953, 8.953 Å; angles 109.47, 109.47, 109.47 degrees
Positions (direct):
Nd (0.115, 0.809, 0.306)
Nd (0.191, 0.306, 0.497)
Nd (0.191, 0.694, 0.885)
Nd (0.306, 0.115, 0.809)
Nd (0.306, 0.497, 0.191)
Nd (0.497, 0.191, 0.306)
Nd (0.503, 0.809, 0.694)
Nd (0.694, 0.503, 0.809)
Nd (0.694, 0.885, 0.191)
Nd (0.809, 0.306, 0.115)
Nd (0.809, 0.694, 0.503)
Nd (0.885, 0.191, 0.694)
Bi (0.000, 0.000, 0.000)
Ir (0.125, 0.625, 0.500)
Ir (0.375, 0.500, 0.875)
Ir (0.500, 0.125, 0.625)
Ir (0.500, 0.875, 0.375)
Ir (0.625, 0.500, 0.125)
Ir (0.875, 0.375, 0.500)

Computed properties:
Its formation enthalpy at 0 K is -10.1 eV per formula unit. As for the space-group type: No. 204.

=====

Below is a geometry-optimized Nd12Bi5Ir2 structure, with properties calculated at the GGA-PBE level.

Cell lengths 9.936, 9.936, 9.973 Å; angles 104.79, 104.79, 46.40 degrees
Positions (direct):
Nd (0.002, 0.002, 0.329)
Nd (0.102, 0.583, 0.420)
Nd (0.109, 0.603, 0.937)
Nd (0.397, 0.891, 0.063)
Nd (0.417, 0.898, 0.580)
Nd (0.496, 0.496, 0.256)
Nd (0.504, 0.504, 0.744)
Nd (0.583, 0.102, 0.420)
Nd (0.603, 0.109, 0.937)
Nd (0.891, 0.397, 0.063)
Nd (0.898, 0.417, 0.580)
Nd (0.998, 0.998, 0.671)
Bi (0.000, 0.000, 0.000)
Bi (0.292, 0.292, 0.138)
Bi (0.308, 0.308, 0.670)
Bi (0.692, 0.692, 0.330)
Bi (0.708, 0.708, 0.862)
Ir (0.296, 0.704, 0.500)
Ir (0.704, 0.296, 0.500)

Computed properties:
Its formation enthalpy at 0 K is -10.0 eV per formula unit. As for the space-group type: No. 12.

=====

Below is a geometry-optimized NdBiIrO6 structure, with properties calculated at the GGA-PBE level.

Cell lengths 5.719, 5.719, 9.323 Å; angles 90.00, 90.00, 120.00 degrees
Positions (direct):
Nd (0.333, 0.667, 0.250)
Nd (0.667, 0.333, 0.750)
Bi (0.000, 0.000, 0.000)
Bi (0.000, 0.000, 0.500)
Ir (0.333, 0.667, 0.750)
Ir (0.667, 0.333, 0.250)
O (0.051, 0.380, 0.631)
O (0.051, 0.671, 0.869)
O (0.329, 0.380, 0.869)
O (0.329, 0.949, 0.631)
O (0.380, 0.051, 0.131)
O (0.380, 0.329, 0.369)
O (0.620, 0.671, 0.631)
O (0.620, 0.949, 0.869)
O (0.671, 0.051, 0.369)
O (0.671, 0.620, 0.131)
O (0.949, 0.329, 0.131)
O (0.949, 0.620, 0.369)

Computed properties:
As for the raw formation energy: -1482 meV/atom. As for the space-group type: No. 163.